Record 1
Compound: Al2FeNi
Source: Alexandria
Functional: GGA-PBE
Structure: optimized geometry

a = 8.077 Å, b = 2.670 Å, c = 4.800 Å
α = 90.00°, β = 100.38°, γ = 90.00°
Fractional positions:
Al: 0.247 0.000 0.249
Al: 0.253 0.500 0.751
Al: 0.747 0.500 0.249
Al: 0.753 0.000 0.751
Fe: 0.000 0.000 0.500
Fe: 0.500 0.500 0.500
Ni: 0.000 0.500 0.000
Ni: 0.500 0.000 0.000

Values from the calculation:
DFT formation energy   -0.26 eV/atom
V   51 Å³/f.u.
SG   C2/m (12)
DOS(E_F)   0.66 states/eV/atom

***

Record 2
Compound: Tb3Nd2Rh2
Source: Alexandria
Functional: GGA-PBE
Structure: optimized geometry

a = 12.309 Å, b = 3.802 Å, c = 9.096 Å
α = 90.00°, β = 116.43°, γ = 90.00°
Fractional positions:
Tb: 0.000 0.000 0.000
Tb: 0.117 0.000 0.430
Tb: 0.383 0.500 0.570
Tb: 0.500 0.500 0.000
Tb: 0.617 0.500 0.430
Tb: 0.883 0.000 0.570
Nd: 0.165 0.500 0.808
Nd: 0.335 0.000 0.192
Nd: 0.665 0.000 0.808
Nd: 0.835 0.500 0.192
Rh: 0.173 0.500 0.243
Rh: 0.327 0.000 0.757
Rh: 0.673 0.000 0.243
Rh: 0.827 0.500 0.757

Values from the calculation:
DFT formation energy   -0.54 eV/atom
V   191 Å³/f.u.
SG   C2/m (12)
DOS(E_F)   1.09 states/eV/atom

***

Record 3
Compound: ScBeZn2
Source: Alexandria
Functional: GGA-PBE
Structure: optimized geometry

a = 2.985 Å, b = 2.985 Å, c = 6.647 Å
α = 90.00°, β = 90.00°, γ = 90.00°
Fractional positions:
Sc: 0.000 0.000 0.000
Be: 0.000 0.000 0.500
Zn: 0.500 0.500 0.298
Zn: 0.500 0.500 0.702

Values from the calculation:
DFT formation energy   -0.06 eV/atom
V   59 Å³/f.u.
SG   P4/mmm (123)
DOS(E_F)   0.63 states/eV/atom

***

Record 4
Compound: Ba8Bi5H
Source: Alexandria
Functional: GGA-PBE
Structure: optimized geometry

a = 9.246 Å, b = 9.246 Å, c = 9.246 Å
α = 109.95°, β = 109.95°, γ = 108.51°
Fractional positions:
Ba: 0.017 0.635 0.752
Ba: 0.246 0.505 0.111
Ba: 0.365 0.117 0.382
Ba: 0.394 0.135 0.889
Ba: 0.495 0.606 0.741
Ba: 0.736 0.983 0.618
Ba: 0.865 0.754 0.259
Ba: 0.883 0.264 0.248
Bi: 0.116 0.240 0.621
Bi: 0.250 0.750 0.500
Bi: 0.505 0.884 0.124
Bi: 0.619 0.495 0.379
Bi: 0.760 0.381 0.876
H: 0.000 0.000 0.000

Values from the calculation:
E   -3.57 eV/atom
V   608 Å³/f.u.
SG   I-4 (82)

***

Record 5
Compound: Pa2Fe3Os
Source: Alexandria
Functional: GGA-PBE
Structure: optimized geometry

a = 8.626 Å, b = 5.031 Å, c = 5.265 Å
α = 90.00°, β = 122.91°, γ = 90.00°
Fractional positions:
Pa: 0.125 0.000 0.375
Pa: 0.375 0.500 0.625
Pa: 0.625 0.500 0.375
Pa: 0.875 0.000 0.625
Fe: 0.000 0.500 0.000
Fe: 0.250 0.250 0.000
Fe: 0.250 0.750 0.000
Fe: 0.500 0.000 0.000
Fe: 0.750 0.250 0.000
Fe: 0.750 0.750 0.000
Os: 0.000 0.500 0.500
Os: 0.500 0.000 0.500

Values from the calculation:
DFT formation energy   -0.25 eV/atom
V   96 Å³/f.u.
SG   C2/m (12)
DOS(E_F)   1.40 states/eV/atom

***

Record 6
Compound: LiTbNd
Source: Alexandria
Functional: GGA-PBE
Structure: optimized geometry

a = 5.195 Å, b = 5.196 Å, c = 12.954 Å
α = 90.00°, β = 90.08°, γ = 90.00°
Fractional positions:
Li: 0.249 0.000 0.050
Li: 0.251 0.500 0.950
Li: 0.749 0.500 0.050
Li: 0.751 0.000 0.950
Tb: 0.249 0.500 0.210
Tb: 0.251 0.000 0.790
Tb: 0.749 0.000 0.210
Tb: 0.751 0.500 0.790
Nd: 0.250 0.000 0.397
Nd: 0.250 0.500 0.603
Nd: 0.750 0.000 0.603
Nd: 0.750 0.500 0.397

Values from the calculation:
DFT formation energy   0.05 eV/atom
V   87 Å³/f.u.
SG   C2/m (12)
DOS(E_F)   1.00 states/eV/atom

***

Record 7
Compound: Tm3TePd
Source: Alexandria
Functional: GGA-PBE
Structure: optimized geometry

a = 8.603 Å, b = 8.603 Å, c = 9.560 Å
α = 121.95°, β = 121.95°, γ = 27.93°
Fractional positions:
Tm: 0.057 0.057 0.390
Tm: 0.248 0.248 0.337
Tm: 0.403 0.403 0.039
Tm: 0.597 0.597 0.961
Tm: 0.752 0.752 0.663
Tm: 0.943 0.943 0.610
Te: 0.163 0.163 0.788
Te: 0.837 0.837 0.212
Pd: 0.387 0.387 0.724
Pd: 0.613 0.613 0.276

Values from the calculation:
V   139 Å³/f.u.
SG   C2/m (12)
DOS(E_F)   0.74 states/eV/atom
Formation energy (no corrections)   -733 meV/atom

***

Record 8
Compound: Sc2Si2S
Source: Alexandria
Functional: GGA-PBE
Structure: optimized geometry

a = 6.948 Å, b = 6.948 Å, c = 3.945 Å
α = 90.00°, β = 90.00°, γ = 90.00°
Fractional positions:
Sc: 0.183 0.317 0.000
Sc: 0.317 0.817 0.000
Sc: 0.683 0.183 0.000
Sc: 0.817 0.683 0.000
Si: 0.115 0.615 0.500
Si: 0.385 0.115 0.500
Si: 0.615 0.885 0.500
Si: 0.885 0.385 0.500
S: 0.000 0.000 0.000
S: 0.500 0.500 0.000

Values from the calculation:
V   95 Å³/f.u.
SG   P4/mbm (127)
DOS(E_F)   0.29 states/eV/atom
Formation energy (no corrections)   -856 meV/atom

***

Record 9
Compound: Hf2Be2V
Source: Alexandria
Functional: GGA-PBE
Structure: optimized geometry

a = 6.487 Å, b = 6.487 Å, c = 3.640 Å
α = 90.00°, β = 90.00°, γ = 90.00°
Fractional positions:
Hf: 0.180 0.320 0.000
Hf: 0.320 0.820 0.000
Hf: 0.680 0.180 0.000
Hf: 0.820 0.680 0.000
Be: 0.117 0.617 0.500
Be: 0.383 0.117 0.500
Be: 0.617 0.883 0.500
Be: 0.883 0.383 0.500
V: 0.000 0.000 0.500
V: 0.500 0.500 0.500

Values from the calculation:
DFT formation energy   -0.01 eV/atom
V   77 Å³/f.u.
SG   P4/mbm (127)
DOS(E_F)   1.09 states/eV/atom

***

Record 10
Compound: Na3Cd3Hg2
Source: Alexandria
Functional: GGA-PBE
Structure: optimized geometry

a = 6.060 Å, b = 6.060 Å, c = 15.994 Å
α = 90.00°, β = 90.00°, γ = 132.16°
Fractional positions:
Na: 0.078 0.922 0.602
Na: 0.078 0.922 0.898
Na: 0.327 0.673 0.750
Na: 0.673 0.327 0.250
Na: 0.922 0.078 0.102
Na: 0.922 0.078 0.398
Cd: 0.388 0.612 0.547
Cd: 0.388 0.612 0.953
Cd: 0.390 0.610 0.250
Cd: 0.610 0.390 0.750
Cd: 0.612 0.388 0.047
Cd: 0.612 0.388 0.453
Hg: 0.222 0.778 0.109
Hg: 0.222 0.778 0.391
Hg: 0.778 0.222 0.609
Hg: 0.778 0.222 0.891

Values from the calculation:
DFT formation energy   -0.13 eV/atom
V   218 Å³/f.u.
SG   Cmcm (63)
DOS(E_F)   0.46 states/eV/atom